Entry 1:
An optimized crystal structure of PrGdErZn. Source: the Alexandria database, functional PBE-GGA.

Output
The value obtained for the formation energy is 0.5 kcal/mol of atoms. The total energy is -6.1528 eV per atom.

abc: 5.4088 5.4088 5.4088
angles: 60.00 60.00 60.00
Closest atoms and distances in Å follow each position.
Sites, in units of the cell vectors:
Zn 0.0000 0.0000 0.0000  4 Gd 3.31, 4 Pr 3.31
Gd 0.7500 0.7500 0.7500  4 Er 3.31, 4 Zn 3.31
Pr 0.2500 0.2500 0.2500  4 Er 3.31, 4 Zn 3.31
Er 0.5000 0.5000 0.5000  4 Pr 3.31, 4 Gd 3.31

***

Entry 2:
An optimized crystal structure of YCuSi2. Source: the Alexandria database, functional PBE-GGA.

Output
The total energy is -5.5019 eV per atom. The value obtained for the uncorrected formation energy is -0.60 eV per formula unit.

abc: 3.4342 3.2192 6.2327
angles: 90.00 90.00 90.00
Closest atoms and distances in Å follow each position.
Sites, in units of the cell vectors:
Si 0.0000 0.0000 0.9953  4 Cu 2.61, 4 Si 2.66
Si 0.5000 0.5000 0.1952  1 Cu 2.36
Cu 0.5000 0.5000 0.8162  5 Si 2.36-2.61
Y 0.0000 0.0000 0.4933  6 Si 3.00-3.13, 4 Cu 3.10, 2 Y 3.22

***

Entry 3:
An optimized crystal structure of Cr2RhCl. Source: the Alexandria database, functional PBE-GGA.

Output
The calculation puts the energy above the most stable polymorph in this dataset at 201.1 meV/atom. The total energy is -6.8088 eV per atom. The value obtained for the uncorrected formation energy is 1.21 eV per formula unit.

abc: 4.6392 4.6392 7.0222
angles: 55.94 55.94 35.73
Closest atoms and distances in Å follow each position.
Sites, in units of the cell vectors:
Rh 0.7500 0.7500 0.7500  6 Cr 2.52-2.61
Cl 0.2500 0.2500 0.2500  4 Cr 2.54
Cr 0.5325 0.5325 0.6120  2 Cr 2.19
Cr 0.9675 0.9675 0.8880  2 Cr 2.19